#i
A plane-wave DFT calculation with PBE-GGA was carried out for a relaxed structure of RbTlB.

```
data_RbTlB
_chemical_formula_sum 'Rb2 Tl2 B2'
_symmetry_space_group_name_H-M 'P -1'
_symmetry_Int_Tables_number 2
_cell_length_a 4.412
_cell_length_b 6.286
_cell_length_c 7.165
_cell_angle_alpha 110.65
_cell_angle_beta 97.52
_cell_angle_gamma 90.43
loop_
_symmetry_equiv_pos_as_xyz
'x,y,z'
'-x,-y,-z'
loop_
_atom_site_label
_atom_site_type_symbol
_atom_site_fract_x
_atom_site_fract_y
_atom_site_fract_z
Rb1 Rb 0.053 0.350 0.214
Tl1 Tl 0.461 0.144 0.773
B1 B 0.098 0.942 0.414
```

The value obtained for the calculated density is 5425 kg/m³. For the volume, the calculation gives 184 Å³ per cell.



#ii
A plane-wave DFT calculation with PBE-GGA was carried out for a relaxed structure of RbTlB.

```
data_RbTlB
_chemical_formula_sum 'Rb2 Tl2 B2'
_symmetry_space_group_name_H-M 'P 1 m 1'
_symmetry_Int_Tables_number 6
_cell_length_a 4.286
_cell_length_b 5.776
_cell_length_c 8.064
_cell_angle_alpha 90.00
_cell_angle_beta 90.18
_cell_angle_gamma 90.00
loop_
_symmetry_equiv_pos_as_xyz
'x,y,z'
'x,-y,z'
loop_
_atom_site_label
_atom_site_type_symbol
_atom_site_fract_x
_atom_site_fract_y
_atom_site_fract_z
Rb1 Rb 0.000 0.000 0.000
Rb2 Rb 0.496 0.500 0.339
Tl1 Tl 0.499 0.500 0.777
Tl2 Tl 0.997 0.000 0.518
B1 B 0.498 0.133 0.718
```

The value obtained for the calculated density is 5002 kg/m³. For the volume, the calculation gives 200 Å³ per cell.



The computed energies, referenced to the most stable structure and given in meV/atom, are #i 20; #ii 0.



#i
A plane-wave DFT calculation with PBE-GGA was carried out for a relaxed structure of RbTlB.

```
data_RbTlB
_chemical_formula_sum 'Rb2 Tl2 B2'
_symmetry_space_group_name_H-M 'P -1'
_symmetry_Int_Tables_number 2
_cell_length_a 5.383
_cell_length_b 5.891
_cell_length_c 7.408
_cell_angle_alpha 104.43
_cell_angle_beta 110.78
_cell_angle_gamma 90.04
loop_
_symmetry_equiv_pos_as_xyz
'x,y,z'
'-x,-y,-z'
loop_
_atom_site_label
_atom_site_type_symbol
_atom_site_fract_x
_atom_site_fract_y
_atom_site_fract_z
Rb1 Rb 0.153 0.182 0.312
Tl1 Tl 0.441 0.239 0.880
B1 B 0.145 0.500 0.000
```

The value obtained for the calculated density is 4717 kg/m³. For the volume, the calculation gives 212 Å³ per cell.



#ii
A plane-wave DFT calculation with PBE-GGA was carried out for a relaxed structure of RbTlB.

```
data_RbTlB
_chemical_formula_sum 'Rb4 Tl4 B4'
_symmetry_space_group_name_H-M 'C m m m'
_symmetry_Int_Tables_number 65
_symmetry_space_group_name_Hall '-C 2 2'
_cell_length_a 5.821
_cell_length_b 12.353
_cell_length_c 5.316
_cell_angle_alpha 90.00
_cell_angle_beta 90.00
_cell_angle_gamma 90.00
loop_
_atom_site_label
_atom_site_type_symbol
_atom_site_fract_x
_atom_site_fract_y
_atom_site_fract_z
Rb1 Rb 0.000 0.149 0.000
Tl1 Tl 0.000 0.373 0.500
B1 B 0.000 0.500 0.147
```

The value obtained for the calculated density is 5224 kg/m³. For the volume, the calculation gives 382 Å³ per cell.



#iii
A plane-wave DFT calculation with PBE-GGA was carried out for a relaxed structure of RbTlB.

```
data_RbTlB
_chemical_formula_sum 'Rb2 Tl2 B2'
_symmetry_space_group_name_H-M 'P 1 2/m 1'
_symmetry_Int_Tables_number 10
_cell_length_a 6.993
_cell_length_b 3.268
_cell_length_c 7.505
_cell_angle_alpha 90.00
_cell_angle_beta 92.50
_cell_angle_gamma 90.00
loop_
_symmetry_equiv_pos_as_xyz
'x,y,z'
'-x,-y,-z'
'-x,y,-z'
'x,-y,z'
loop_
_atom_site_label
_atom_site_type_symbol
_atom_site_fract_x
_atom_site_fract_y
_atom_site_fract_z
Rb1 Rb 0.243 0.000 0.168
Tl1 Tl 0.189 0.500 0.669
B1 B 0.500 0.256 0.500
```

The value obtained for the calculated density is 5827 kg/m³. For the volume, the calculation gives 171 Å³ per cell.



The computed energies, referenced to the most stable structure and given in meV/atom, are #i 210; #ii 187; #iii 0.